Pm8Cd2Pt | PBE | optimized geometry

Computed properties:
E: -98.0 eV for the cell shown
DOS at the Fermi energy: 22.76 states/eV/cell
ΔH_f (0 K): -0.284 eV per atom

CIF file:
```
data_Pm8Cd2Pt
_chemical_formula_sum 'Pm16 Cd4 Pt2'
_symmetry_space_group_name_H-M 'C 1 2/m 1'
_symmetry_Int_Tables_number 12
_cell_length_a 18.491
_cell_length_b 5.307
_cell_length_c 6.964
_cell_angle_alpha 90.00
_cell_angle_beta 102.83
_cell_angle_gamma 90.00
loop_
_symmetry_equiv_pos_as_xyz
'x,y,z'
'-x,-y,-z'
'-x,y,-z'
'x,-y,z'
'x+1/2,y+1/2,z'
'-x+1/2,-y+1/2,-z'
'-x+1/2,y+1/2,-z'
'x+1/2,-y+1/2,z'
loop_
_atom_site_label
_atom_site_fract_x
_atom_site_fract_y
_atom_site_fract_z
_atom_site_occupancy
Pm1 0.020 0.000 0.275 1
Pm2 0.090 0.500 0.940 1
Pm3 0.152 0.500 0.462 1
Pm4 0.204 0.000 0.805 1
Cd1 0.189 0.000 0.238 1
Pt1 0.000 0.500 0.500 1
```